# K2Mn2BiO6

K2Mn2BiO6 after structural relaxation (PBE with a Hubbard U, the Alexandria database).

Cell and atoms, written as CIF:
```
data_K2Mn2BiO6
_cell_length_a 5.547
_cell_length_b 5.547
_cell_length_c 6.730
_cell_angle_alpha 100.53
_cell_angle_beta 100.53
_cell_angle_gamma 114.75
_symmetry_space_group_name_H-M 'P 1'
_symmetry_Int_Tables_number 1
_symmetry_space_group_name_Hall 'P 1'
loop_
_atom_site_label
_atom_site_fract_x
_atom_site_fract_y
_atom_site_fract_z
K1 0.176 0.824 0.000
K2 0.824 0.176 0.000
Mn1 0.336 0.664 0.500
Mn2 0.664 0.336 0.500
Bi1 0.000 0.000 0.500
O1 0.010 0.390 0.679
O2 0.298 0.298 0.344
O3 0.390 0.010 0.679
O4 0.610 0.990 0.321
O5 0.702 0.702 0.656
O6 0.990 0.610 0.321
```

Properties
V = 16.08 Å³ per atom
uncorrected energy = -66.65 eV for the cell shown